The following is a DFT calculation (PBE) of crystalline SnP2Se6 at its relaxed geometry.

Cell and atoms, written as POSCAR:
```
SnP2Se6
1.0
6.514 -6.354 0.000
6.514 6.354 0.000
-1.604 0.000 6.198
Sn P Se
2 4 12
Cartesian
5.311 4.702 4.649
6.113 -4.702 1.550
2.611 0.995 4.746
3.413 -0.995 1.647
8.011 0.995 4.551
8.813 -0.995 1.452
0.407 1.043 4.380
3.330 2.768 5.785
1.210 -1.043 1.281
3.946 0.927 2.881
7.292 2.768 3.512
3.144 -0.927 5.980
8.280 0.927 0.218
4.132 -2.768 2.686
7.478 -0.927 3.317
10.214 1.043 4.917
8.094 -2.768 0.413
11.017 -1.043 1.818
```

Calculated values
As for the electronic total energy: -4.02 eV/atom. For the formation energy (no corrections), the calculation gives -54 meV/atom.



The following is a DFT calculation (PBE) of crystalline Tb8Pm2Sc3 at its relaxed geometry.

Cell and atoms, written as POSCAR:
```
Tb8Pm2Sc3
1.0
6.602 -5.633 0.000
6.602 5.633 0.000
-2.401 0.000 5.428
Tb Pm Sc
8 2 3
Cartesian
0.466 0.000 1.486
2.516 2.631 4.624
3.873 0.000 2.102
8.287 2.631 0.804
2.516 -2.631 4.624
6.929 0.000 3.325
8.287 -2.631 0.804
10.336 0.000 3.941
0.377 0.000 4.561
10.425 0.000 0.867
5.401 2.965 2.714
6.602 0.000 0.000
5.401 -2.965 2.714
```

Calculated values
As for the electronic total energy: -4.86 eV/atom. The offset from the most stable computed form comes out at 0 meV per atom. For the formation energy, the calculation gives 0.1861 eV/atom.



The following is a DFT calculation (PBE) of crystalline LiScO2 at its relaxed geometry.

Cell and atoms, written as POSCAR:
```
LiScO2
1.0
-2.294 2.294 4.817
2.294 -2.294 4.817
2.294 2.294 -4.817
Li Sc O
2 2 4
Cartesian
0.000 0.000 0.000
0.000 2.294 2.409
2.294 0.000 2.409
0.000 0.000 4.817
1.147 -1.107 3.613
1.187 1.147 1.204
1.147 3.401 -1.204
1.107 1.147 6.021
```

Calculated values
As for the electronic total energy: -7.39 eV/atom. For the formation energy (no corrections), the calculation gives -2847 meV/atom.



The following is a DFT calculation (PBE) of crystalline KMg3Al at its relaxed geometry.

Cell and atoms, written as POSCAR:
```
KMg3Al
1.0
5.422 0.000 0.000
0.000 5.422 0.000
0.000 0.000 5.422
K Mg Al
1 3 1
Cartesian
0.000 0.000 0.000
0.000 2.711 2.711
2.711 0.000 2.711
2.711 2.711 0.000
2.711 2.711 2.711
```

Calculated values
As for the electronic total energy: -1.65 eV/atom. The offset from the most stable computed form comes out at 0 meV per atom. For the formation energy, the calculation gives 0.2790 eV/atom.



Q: electronic total energy of number 2 (Tb8Pm2Sc3)?
A: -4.86 eV/atom



Q: Look up the electronic total energy of the fourth one.
A: -1.65 eV/atom